1.
BaZrO3 | Alexandria via LeMat-Bulk | GGA-PBE | relaxed; M_tot = 0.0 μB per formula unit; ΔE_f (raw) = -3220 meV per atom; space-group type = Pm-3m, No. 221
1.0
4.256 0.000 0.000
0.000 4.256 0.000
0.000 0.000 4.256
Ba Zr O
1 1 3
direct
0.000 0.000 0.000
0.500 0.500 0.500
0.000 0.500 0.500
0.500 0.000 0.500
0.500 0.500 0.000



2.
BaZrO3 | Alexandria via LeMat-Bulk | GGA-PBE | relaxed; M_tot = 0.0 μB per formula unit; ΔE_f (raw) = -3052 meV per atom; space-group type = P2_1/c, No. 14
1.0
8.327 0.000 0.000
0.000 5.567 0.000
-2.554 0.000 7.423
Ba Zr O
4 4 12
direct
0.160 0.227 0.142
0.160 0.273 0.642
0.840 0.727 0.358
0.840 0.773 0.858
0.409 0.750 0.041
0.409 0.750 0.541
0.591 0.250 0.459
0.591 0.250 0.959
0.168 0.640 0.987
0.168 0.860 0.487
0.336 0.084 0.932
0.336 0.416 0.432
0.450 0.574 0.815
0.450 0.926 0.315
0.550 0.074 0.685
0.550 0.426 0.185
0.664 0.584 0.568
0.664 0.916 0.068
0.832 0.140 0.513
0.832 0.360 0.013



3.
BaZrO3 | Alexandria via LeMat-Bulk | GGA-PBE | relaxed; M_tot = 0.0 μB per formula unit; ΔE_f (raw) = -3005 meV per atom; space-group type = C2/c, No. 15
1.0
6.237 -4.882 0.000
6.237 4.882 0.000
-0.912 0.000 6.130
Ba Zr O
4 4 12
direct
0.108 0.892 0.750
0.332 0.668 0.250
0.668 0.332 0.750
0.892 0.108 0.250
0.152 0.361 0.851
0.361 0.152 0.351
0.639 0.848 0.649
0.848 0.639 0.149
0.002 0.224 0.653
0.065 0.617 0.916
0.224 0.002 0.153
0.317 0.352 0.604
0.352 0.317 0.104
0.383 0.935 0.584
0.617 0.065 0.416
0.648 0.683 0.896
0.683 0.648 0.396
0.776 0.998 0.847
0.935 0.383 0.084
0.998 0.776 0.347



4.
BaOs | Alexandria via LeMat-Bulk | GGA-PBE | relaxed; E = -6.159 eV per atom; M_tot = 0.0 μB per formula unit; space-group type = P-3m1, No. 164
1.0
4.119 0.000 0.000
-2.059 3.567 0.000
0.000 0.000 9.924
Ba Os
2 2
direct
0.333 0.667 0.212
0.667 0.333 0.788
0.333 0.667 0.524
0.667 0.333 0.476



5.
BaOs4 | Alexandria via LeMat-Bulk | GGA-PBE | relaxed; E above lowest polymorph = 2836 meV per atom; M_tot = 0.0 μB per formula unit; space-group type = Im-3m, No. 229
1.0
-2.987 2.987 2.987
2.987 -2.987 2.987
2.987 2.987 -2.987
Ba Os
1 4
direct
0.000 0.000 0.000
0.000 0.000 0.500
0.000 0.500 0.000
0.500 0.000 0.000
0.500 0.500 0.500



6.
Ba5Os | Alexandria via LeMat-Bulk | GGA-PBE | relaxed; E above lowest polymorph = 0 meV per atom; M_tot = 0.4 μB per formula unit; space-group type = C2/m, No. 12
1.0
7.557 -2.028 0.000
7.557 2.028 0.000
-4.770 0.000 9.753
Ba Os
5 1
direct
0.000 0.000 0.000
0.342 0.342 0.244
0.388 0.388 0.608
0.612 0.612 0.392
0.658 0.658 0.756
0.000 0.000 0.500



Number 1: density of states at the Fermi level 0.000 states/eV per atom. Number 2: density of states at the Fermi level 0.000 states/eV per atom. Number 3: density of states at the Fermi level 0.000 states/eV per atom. Number 4: density of states at the Fermi level 0.731 states/eV per atom. Number 5: density of states at the Fermi level 2.023 states/eV per atom. Number 6: density of states at the Fermi level 1.455 states/eV per atom.